Material: Pm9Sc2Tl
Method: DFT, PBE
State: relaxed

For the final energy, the calculation gives -4.854 eV/atom. The density is 7.1 g/cm3. The formation enthalpy at 0 K is -39 meV per atom. Its volume is 376.4 Å³/cell.

It has space group P4/mmm (No. 123), with a = 4.9843 Å, b = 4.9843 Å, c = 15.1497 Å, α = 90.00°, β = 90.00° and γ = 90.00°. The distinct sites, in fractional coordinates, are Pm at (0.0000, 0.0000, 0.0000), Pm at (0.0000, 0.0000, 0.3336), Pm at (0.0000, 0.5000, 0.1666), Pm at (0.0000, 0.5000, 0.5000), Sc at (0.5000, 0.5000, 0.3340) and Tl at (0.5000, 0.5000, 0.0000).